No. 1
Material: TcAsS
Method: DFT, GGA-PBE
State: relaxed

a = 4.145 Å, b = 4.882 Å, c = 7.243 Å
α = 90.00°, β = 106.63°, γ = 90.00°
Positions (direct):
Tc1 0.567 0.250 0.134
Tc2 0.433 0.750 0.866
As1 0.605 0.750 0.209
As2 0.395 0.250 0.791
S1 0.864 0.750 0.728
S2 0.136 0.250 0.272

Output
The symmetry is Cmcm, No. 63. The calculation puts the electronic total energy at -37.68 eV/cell. Its energy above the most stable polymorph in this dataset is 282.8 meV/atom. For the density of states at the Fermi level, the calculation gives 6.2 states/eV/cell. The calculation puts the raw formation energy at 101.4 meV per atom.

No. 2
Material: PuSc3Zn8
Method: DFT, GGA-PBE
State: relaxed

a = 5.339 Å, b = 5.339 Å, c = 8.531 Å
α = 90.00°, β = 90.00°, γ = 120.00°
Positions (direct):
Pu1 0.000 0.000 0.560
Sc1 0.667 0.333 0.446
Sc2 0.667 0.333 0.066
Sc3 0.000 0.000 0.927
Zn1 0.333 0.667 0.500
Zn2 0.333 0.667 0.001
Zn3 0.504 0.008 0.757
Zn4 0.504 0.496 0.757
Zn5 0.992 0.496 0.757
Zn6 0.163 0.326 0.243
Zn7 0.163 0.837 0.243
Zn8 0.674 0.837 0.243

Output
The symmetry is P3m1, No. 156. The calculation puts the electronic total energy at -46.72 eV/cell. For the energy of formation from the pure elements, the calculation gives -0.27 eV/atom. For the density of states at the Fermi level, the calculation gives 14.3 states/eV/cell.